The following is a PBE-GGA calculation of an optimized crystal structure of CsAgPdBr6, from Alexandria via LeMat-Bulk.

```
CsAgPdBr6
1.0
-4.9170 -1.4985 4.9817
-4.4851 -5.4997 -0.9382
5.1485 -4.8179 3.6322
Br Pd Ag Cs
6 1 1 1
direct
0.0367 0.6087 0.6842
0.6087 0.0367 0.3158
0.3545 0.0367 0.6842
0.0367 0.3545 0.3158
0.3545 0.6088 0.3158
0.6087 0.3545 0.6842
0.3333 0.3333 0.5000
0.6666 0.6667 0.5000
0.0000 0.0000 0.0000
```

Computed properties:
Energy relative to the elements, uncorrected (eV per atom): -0.58
Raw total energy (eV for the cell shown): -24.18
Size of the total moment (μB/cell): 0.0